Crystalline CdSbAs2 at its relaxed geometry, computed with GGA-PBE.

Results
E above lowest polymorph: 242.7 meV per atom

```
4
Lattice="4.975 0.000 0.000 0.000 4.975 0.000 0.000 0.000 3.598" Properties=species:S:1:pos:R:3 pbc="T T T"
Cd 0.000 0.000 0.000
Sb 2.488 2.488 0.000
As 0.000 2.488 1.799
As 2.488 0.000 1.799
```